Record 1
A relaxed structure of PaIn2Pd, computed with PBE.

Cell: 4.7163 4.7163 8.8606 Å, 105.43 105.43 90.00°
Last column: nearest neighbours and their distance in Å.
Fractional positions:
In: 0.3574 0.3574 0.7149  4 Pd 2.94
In: 0.5000 0.0000 0.0000  4 Pa 3.32, 8 In 3.32-3.33
In: 0.6426 0.6426 0.2851  4 Pd 2.94
In: 0.0000 0.5000 0.0000  4 Pa 3.32, 8 In 3.32-3.33
Pd: 0.7500 0.2500 0.5000  4 In 2.94, 4 Pa 2.95
Pd: 0.2500 0.7500 0.5000  4 In 2.94, 4 Pa 2.95
Pa: 0.8575 0.8575 0.7150  4 Pd 2.95
Pa: 0.1425 0.1425 0.2850  4 Pd 2.95

Calculated values
Its crystal system is tetragonal. For the formation energy, the calculation gives -337 meV per atom. Its calculated total energy is -43.03 eV for the cell shown. As for the symmetry: I4/mmm, No. 139.

---

Record 2
A relaxed structure of ScMoIr2, computed with PBE.

Cell: 9.2382 9.2382 9.2382 Å, 17.90 17.90 17.90°
Last column: nearest neighbours and their distance in Å.
Fractional positions:
Sc: 0.7466 0.7466 0.7466  3 Ir 2.72, 6 Sc 2.87, 3 Mo 3.00
Ir: 0.0007 0.0007 0.0007  3 Sc 2.72, 9 Ir 2.87-2.88
Ir: 0.2477 0.2477 0.2477  3 Mo 2.66, 9 Ir 2.87-2.88
Mo: 0.5049 0.5049 0.5049  3 Ir 2.66, 6 Mo 2.87

Calculated values
Its crystal system is trigonal. For the formation energy, the calculation gives -8 meV per atom. Its calculated total energy is -34.92 eV for the cell shown. As for the symmetry: R3m, No. 160.

---

Record 3
A relaxed structure of Zr2CdSe, computed with PBE.

Cell: 5.7624 5.7624 5.7624 Å, 138.00 138.00 60.90°
Last column: nearest neighbours and their distance in Å.
Fractional positions:
Zr: 0.2500 0.7500 0.5000  4 Se 2.92, 4 Cd 3.23, 4 Zr 3.23
Zr: 0.0000 0.0000 0.0000  4 Cd 2.92, 4 Zr 3.23, 4 Se 3.23
Cd: 0.5000 0.5000 0.0000  8 Zr 2.92-3.23, 4 Se 3.23
Se: 0.7500 0.2500 0.5000  8 Zr 2.92-3.23, 4 Cd 3.23

Calculated values
Its crystal system is tetragonal. Its calculated total energy is -22.42 eV for the cell shown. The value obtained for the uncorrected formation energy is -0.232 eV per atom. As for the symmetry: I-4m2, No. 119.

---

Record 4
A relaxed structure of Cu2TeIr2, computed with PBE.

Cell: 7.2757 7.2757 2.9497 Å, 90.00 90.00 90.00°
Last column: nearest neighbours and their distance in Å.
Fractional positions:
Ir: 0.3693 0.8693 0.0000  6 Cu 2.57-2.62, 1 Ir 2.69, 2 Te 2.85
Ir: 0.6307 0.1307 0.0000  6 Cu 2.57-2.62, 1 Ir 2.69, 2 Te 2.85
Ir: 0.8693 0.6307 0.0000  6 Cu 2.57-2.62, 1 Ir 2.69, 2 Te 2.85
Ir: 0.1307 0.3693 0.0000  6 Cu 2.57-2.62, 1 Ir 2.69, 2 Te 2.85
Cu: 0.6652 0.8348 0.5000  6 Ir 2.57-2.62
Cu: 0.8348 0.3348 0.5000  6 Ir 2.57-2.62
Cu: 0.1652 0.6652 0.5000  6 Ir 2.57-2.62
Cu: 0.3348 0.1652 0.5000  6 Ir 2.57-2.62
Te: 0.5000 0.5000 0.0000  4 Ir 2.85, 2 Te 2.95, 8 Cu 3.09
Te: 0.0000 0.0000 0.0000  4 Ir 2.85, 2 Te 2.95, 8 Cu 3.09

Calculated values
Its crystal system is tetragonal. Its calculated total energy is -54.92 eV for the cell shown. The value obtained for the uncorrected formation energy is 0.319 eV per atom. As for the symmetry: P4/mbm, No. 127.

---

Record 5
A relaxed structure of TaSb2Au, computed with PBE.

Cell: 3.6384 5.3214 4.4778 Å, 90.00 90.00 90.00°
Last column: nearest neighbours and their distance in Å.
Fractional positions:
Ta: 0.5000 0.0000 0.5000  4 Sb 2.88, 4 Au 3.22
Sb: 0.0000 0.0000 0.0000  4 Ta 2.88, 4 Sb 3.22
Sb: 0.5000 0.5000 0.0000  4 Au 2.88, 4 Sb 3.22
Au: 0.0000 0.5000 0.5000  4 Sb 2.88, 4 Ta 3.22

Calculated values
Its crystal system is orthorhombic. Its calculated total energy is -21.70 eV for the cell shown. The value obtained for the uncorrected formation energy is 0.419 eV per atom. As for the symmetry: Pmmm, No. 47.

---

Record 6
A relaxed structure of LaFe2Cl, computed with PBE.

Cell: 5.6163 5.6163 3.2610 Å, 90.00 90.00 122.45°
Last column: nearest neighbours and their distance in Å.
Fractional positions:
La: 0.5000 0.0000 0.5000  2 Cl 2.70
Fe: 0.0000 0.0000 0.0000  2 Fe 2.70
Fe: 0.5000 0.5000 0.0000  2 Fe 2.70
Cl: 0.0000 0.5000 0.5000  2 La 2.70

Calculated values
Its crystal system is orthorhombic. Its calculated total energy is -22.32 eV for the cell shown. The value obtained for the uncorrected formation energy is 0.344 eV per atom. As for the symmetry: Cmmm, No. 65.

---

Record 7
A relaxed structure of CoPtW, computed with PBE.

Cell: 4.7198 4.7198 4.7198 Å, 146.47 133.25 58.75°
Last column: nearest neighbours and their distance in Å.
Fractional positions:
W: 0.6578 0.6578 0.0000  5 Co 2.63-2.87, 5 Pt 2.65-2.74, 2 W 2.72
Pt: 0.3352 0.3352 0.0000  5 W 2.65-2.74, 5 Co 2.70-2.71, 2 Pt 2.72
Co: 0.0070 0.0070 0.0000  5 W 2.63-2.87, 5 Pt 2.70-2.71, 2 Co 2.72

Calculated values
Its crystal system is orthorhombic. For the formation energy, the calculation gives -161 meV per atom. Its calculated total energy is -26.58 eV for the cell shown. As for the symmetry: Imm2, No. 44.

---

Record 8
A relaxed structure of KNb3Al, computed with PBE.

Cell: 4.6209 4.6209 4.6209 Å, 90.00 90.00 90.00°
Last column: nearest neighbours and their distance in Å.
Fractional positions:
Al: 0.5000 0.5000 0.5000  12 Nb 3.27
Nb: 0.0000 0.0000 0.5000  2 K 2.31
Nb: 0.0000 0.5000 0.0000  2 K 2.31
Nb: 0.5000 0.0000 0.0000  2 K 2.31
K: 0.0000 0.0000 0.0000  6 Nb 2.31

Calculated values
Its crystal system is cubic. For the formation energy, the calculation gives 2409 meV per atom. Its calculated total energy is -23.00 eV for the cell shown. As for the symmetry: Pm-3m, No. 221.

---

Question: calculated total energy of number 2 (ScMoIr2)?
Answer: -34.92 eV for the cell shown